Record 1
Density functional theory data (PBE) for a relaxed Ga3NiPd crystal.

Computed properties:
spin magnetization	0.08	Bohr magnetons per cell
final energy	-3.64	eV per atom
space group	Pm-3m
calculated formation energy	368	meV/atom

Lattice parameters (Å, degrees): 4.739 4.739 4.739 90.00 90.00 90.00
Element x y z (fractional)
Ga  0.000  0.000  0.500
Ga  0.000  0.500  0.000
Ga  0.500  0.000  0.000
Ni  0.500  0.500  0.500
Pd  0.000  0.000  0.000


Record 2
Density functional theory data (PBE) for a relaxed BaTl2Tc crystal.

Computed properties:
spin magnetization	0.39	Bohr magnetons per cell
final energy	-3.81	eV per atom
space group	P4mm
calculated formation energy	450	meV/atom

Lattice parameters (Å, degrees): 3.776 3.776 8.121 90.00 90.00 90.00
Element x y z (fractional)
Ba  0.000  0.000  0.000
Tl  0.000  0.000  0.406
Tl  0.500  0.500  0.662
Tc  0.500  0.500  0.304


Q: Look up the calculated formation energy of the first one.
A: 368 meV/atom


Q: The highest final energy belongs to which entry?
A: Ga3NiPd


Q: final energy of number 2 (BaTl2Tc)?
A: -3.81 eV per atom